No. 1
DFT (GGA-PBE) results for a geometry-optimized Ce2PrTm structure.

Lattice parameters (Å, degrees): 5.1267 4.9205 4.9205 90.00 90.00 90.00
Last column: nearest neighbours and their distance in Å.
Element x y z (fractional)
Pr: 0.5000 0.0000 0.0000  4 Tm 3.48, 8 Ce 3.55
Ce: 0.0000 0.0000 0.5000  4 Ce 3.48, 4 Pr 3.55, 4 Tm 3.55
Ce: 0.0000 0.5000 0.0000  4 Ce 3.48, 4 Pr 3.55, 4 Tm 3.55
Tm: 0.5000 0.5000 0.5000  4 Pr 3.48, 8 Ce 3.55

Values from the calculation:
The theoretical density comes out at 7894 kg/m³. Its polymorph energy (0 for the lowest one) is 7 meV/atom. The total energy comes out at -5.170 eV/atom. The total magnetization is 1.69 μB/cell. The symmetry is P4/mmm, No. 123. The calculation puts the density of states at the Fermi level at 10.072 states/eV per cell.

No. 2
DFT (GGA-PBE) results for a geometry-optimized CaErPb2 structure.

Lattice parameters (Å, degrees): 3.5636 3.5636 9.0670 90.00 90.00 90.00
Last column: nearest neighbours and their distance in Å.
Element x y z (fractional)
Ca: 0.5000 0.5000 0.5000  8 Pb 3.43, 4 Ca 3.56
Pb: 0.0000 0.0000 0.7569  4 Er 3.35, 4 Ca 3.43, 4 Pb 3.56
Pb: 0.0000 0.0000 0.2431  4 Er 3.35, 4 Ca 3.43, 4 Pb 3.56
Er: 0.5000 0.5000 0.0000  8 Pb 3.35, 4 Er 3.56

Values from the calculation:
The theoretical density comes out at 8966 kg/m³. The total energy comes out at -3.960 eV/atom. The total magnetization is 0.00 μB/cell. The symmetry is P4/mmm, No. 123. The calculation puts the density of states at the Fermi level at 2.985 states/eV per cell.

No. 3
DFT (GGA-PBE) results for a geometry-optimized La7Pr2Y2 structure.

Lattice parameters (Å, degrees): 6.2571 8.9658 8.9658 81.08 117.08 117.08
Last column: nearest neighbours and their distance in Å.
Element x y z (fractional)
La: 0.8476 0.5758 0.5758  6 La 3.53-3.86, 2 Pr 3.60-3.78, 2 Y 3.79
La: 0.1524 0.4242 0.4242  6 La 3.53-3.86, 2 Pr 3.60-3.78, 2 Y 3.79
La: 0.3090 0.5858 0.0450  2 La 3.18-3.36, 1 Pr 3.45, 1 Y 3.47
La: 0.6910 0.9550 0.4142  2 La 3.18-3.36, 1 Pr 3.45, 1 Y 3.47
La: 0.5000 0.0000 0.0000  4 La 3.36, 2 Pr 3.71
La: 0.6910 0.4142 0.9550  2 La 3.18-3.36, 1 Pr 3.45, 1 Y 3.47
La: 0.3090 0.0450 0.5858  2 La 3.18-3.36, 1 Pr 3.45, 1 Y 3.47
Pr: 0.3638 0.2300 0.2300  7 La 3.45-3.78, 2 Y 3.55
Pr: 0.6362 0.7700 0.7700  7 La 3.45-3.78, 2 Y 3.55
Y: 0.0000 0.7868 0.2132  6 La 3.47-3.79, 2 Pr 3.55
Y: 0.0000 0.2132 0.7868  6 La 3.47-3.79, 2 Pr 3.55

Values from the calculation:
The theoretical density comes out at 5976 kg/m³. Its polymorph energy (0 for the lowest one) is 0 meV/atom. The total energy comes out at -5.071 eV/atom. The total magnetization is 0.00 μB/cell. The symmetry is C2/m, No. 12. The calculation puts the density of states at the Fermi level at 17.281 states/eV per cell.

No. 4
DFT (GGA-PBE) results for a geometry-optimized AlTeS2N structure.

Lattice parameters (Å, degrees): 4.8929 4.8929 3.5988 90.00 90.00 90.00
Last column: nearest neighbours and their distance in Å.
Element x y z (fractional)
S: 0.5000 0.0000 0.0000  2 Al 2.45
S: 0.0000 0.5000 0.0000  2 Al 2.45
N: 0.0000 0.0000 0.5000  2 Al 1.80
Al: 0.0000 0.0000 0.0000  2 N 1.80
Te: 0.5000 0.5000 0.5000  8 S 3.04

Values from the calculation:
The theoretical density comes out at 4485 kg/m³. As for the uncorrected formation energy: 7.156 kcal/mol of atoms. Its polymorph energy (0 for the lowest one) is 0 meV/atom. The total energy comes out at -4.383 eV/atom. The total magnetization is 0.00 μB/cell. The symmetry is P4/mmm, No. 123. The calculation puts the density of states at the Fermi level at 3.586 states/eV per cell.

No. 5
DFT (GGA-PBE) results for a geometry-optimized YTm7Sc2 structure.

Lattice parameters (Å, degrees): 5.2510 8.6398 9.2025 117.97 73.45 127.44
Last column: nearest neighbours and their distance in Å.
Element x y z (fractional)
Tm: 0.7515 0.1386 0.7743  8 Tm 3.41-3.67, 3 Sc 3.43-3.51, 2 Y 3.64
Tm: 0.5000 0.5000 0.0000  2 Sc 3.23, 2 Y 3.43
Tm: 0.2484 0.6354 0.7742  8 Tm 3.41-3.67, 3 Sc 3.43-3.51, 2 Y 3.64
Tm: 0.7516 0.3646 0.2258  8 Tm 3.41-3.67, 3 Sc 3.43-3.51, 2 Y 3.64
Tm: 0.0001 0.2030 0.4059  4 Sc 3.07-3.43, 1 Y 3.30
Tm: 0.2485 0.8614 0.2257  8 Tm 3.41-3.67, 3 Sc 3.43-3.51, 2 Y 3.64
Tm: 0.9999 0.7970 0.5941  4 Sc 3.07-3.43, 1 Y 3.30
Sc: 0.4999 0.3010 0.6023  9 Tm 3.07-3.43
Sc: 0.5001 0.6990 0.3977  9 Tm 3.07-3.43
Y: 0.0000 0.0000 0.0000  12 Tm 3.30-3.64

Values from the calculation:
The theoretical density comes out at 7722 kg/m³. Its polymorph energy (0 for the lowest one) is 0 meV/atom. The total energy comes out at -4.997 eV/atom. The total magnetization is 0.00 μB/cell. The symmetry is Immm, No. 71. The calculation puts the density of states at the Fermi level at 18.554 states/eV per cell.

No. 6
DFT (GGA-PBE) results for a geometry-optimized CuHg5 structure.

Lattice parameters (Å, degrees): 6.0879 6.0879 6.0879 60.00 60.00 60.00
Last column: nearest neighbours and their distance in Å.
Element x y z (fractional)
Cu: 0.0000 0.0000 0.0000  16 Hg 3.57-3.73
Hg: 0.6256 0.6256 0.6256  6 Hg 3.03-3.06
Hg: 0.6256 0.1233 0.6256  6 Hg 3.03-3.06
Hg: 0.2500 0.2500 0.2500  12 Hg 3.57, 4 Cu 3.73
Hg: 0.1233 0.6256 0.6256  6 Hg 3.03-3.06
Hg: 0.6256 0.6256 0.1233  6 Hg 3.03-3.06

Values from the calculation:
The theoretical density comes out at 11100 kg/m³. Its polymorph energy (0 for the lowest one) is 285 meV/atom. The total energy comes out at -0.542 eV/atom. The total magnetization is 0.00 μB/cell. The symmetry is F-43m, No. 216. The calculation puts the density of states at the Fermi level at 4.060 states/eV per cell.

No. 7
DFT (GGA-PBE) results for a geometry-optimized Na2CdCu3As4 structure.

Lattice parameters (Å, degrees): 4.1916 4.1916 10.9158 90.00 90.00 90.00
Last column: nearest neighbours and their distance in Å.
Element x y z (fractional)
Cu: 0.5000 0.0000 0.8699  5 As 2.40-2.53
Cu: 0.0000 0.5000 0.1301  5 As 2.40-2.53
Cu: 0.0000 0.0000 0.5000  4 As 2.66, 4 Cd 2.96
As: 0.0000 0.5000 0.3500  3 Cu 2.40-2.66, 2 Cd 2.66
As: 0.5000 0.0000 0.6500  3 Cu 2.40-2.66, 2 Cd 2.66
As: 0.0000 0.0000 0.0000  4 Cu 2.53
As: 0.5000 0.5000 0.0000  4 Cu 2.53
Cd: 0.5000 0.5000 0.5000  4 As 2.66, 4 Cu 2.96
Na: 0.5000 0.0000 0.2486  8 As 3.16-3.43, 6 Cu 3.23-3.45, 2 Cd 3.45
Na: 0.0000 0.5000 0.7514  8 As 3.16-3.43, 6 Cu 3.23-3.45, 2 Cd 3.45

Values from the calculation:
The theoretical density comes out at 5617 kg/m³. The total energy comes out at -3.614 eV/atom. The total magnetization is 0.00 μB/cell. The symmetry is P-4m2, No. 115. The calculation puts the density of states at the Fermi level at 3.591 states/eV per cell.

No. 8
DFT (GGA-PBE) results for a geometry-optimized Co2HgSb2 structure.

Lattice parameters (Å, degrees): 7.3149 7.3149 3.3585 90.00 90.00 90.00
Last column: nearest neighbours and their distance in Å.
Element x y z (fractional)
Hg: 0.0000 0.0000 0.0000  4 Co 2.85
Hg: 0.5000 0.5000 0.0000  4 Co 2.85
Sb: 0.1545 0.6545 0.5000  6 Co 2.70-2.76
Sb: 0.3455 0.1545 0.5000  6 Co 2.70-2.76
Sb: 0.8455 0.3455 0.5000  6 Co 2.70-2.76
Sb: 0.6545 0.8455 0.5000  6 Co 2.70-2.76
Co: 0.1335 0.3665 0.0000  6 Sb 2.70-2.76, 1 Co 2.76, 2 Hg 2.85
Co: 0.8665 0.6335 0.0000  6 Sb 2.70-2.76, 1 Co 2.76, 2 Hg 2.85
Co: 0.3665 0.8665 0.0000  6 Sb 2.70-2.76, 1 Co 2.76, 2 Hg 2.85
Co: 0.6335 0.1335 0.0000  6 Sb 2.70-2.76, 1 Co 2.76, 2 Hg 2.85

Values from the calculation:
The theoretical density comes out at 10386 kg/m³. As for the uncorrected formation energy: 5.108 kcal/mol of atoms. Its polymorph energy (0 for the lowest one) is 135 meV/atom. The total energy comes out at -4.330 eV/atom. The total magnetization is 1.24 μB/cell. The symmetry is P4/mbm, No. 127. The calculation puts the density of states at the Fermi level at 9.081 states/eV per cell.

No. 9
DFT (GGA-PBE) results for a geometry-optimized BaCdRe4 structure.

Lattice parameters (Å, degrees): 5.4990 5.4990 5.4990 60.00 60.00 60.00
Last column: nearest neighbours and their distance in Å.
Element x y z (fractional)
Cd: 0.0000 0.0000 0.0000  12 Re 3.22, 4 Ba 3.37
Ba: 0.7500 0.7500 0.7500  12 Re 3.22, 4 Cd 3.37
Re: 0.3746 0.3746 0.3746  6 Re 2.74-2.76
Re: 0.3746 0.8761 0.3746  6 Re 2.74-2.76
Re: 0.3746 0.3746 0.8761  6 Re 2.74-2.76
Re: 0.8761 0.3746 0.3746  6 Re 2.74-2.76

Values from the calculation:
The theoretical density comes out at 14046 kg/m³. The total energy comes out at -7.920 eV/atom. The total magnetization is 0.00 μB/cell. The symmetry is F-43m, No. 216. The calculation puts the density of states at the Fermi level at 4.897 states/eV per cell.

No. 10
DFT (GGA-PBE) results for a geometry-optimized Nd2PuTl structure.

Lattice parameters (Å, degrees): 4.6602 5.0533 5.0533 90.00 90.00 90.00
Last column: nearest neighbours and their distance in Å.
Element x y z (fractional)
Nd: 0.0000 0.5000 0.0000  4 Tl 3.44, 4 Pu 3.44, 4 Nd 3.57
Nd: 0.0000 0.0000 0.5000  4 Tl 3.44, 4 Pu 3.44, 4 Nd 3.57
Pu: 0.5000 0.5000 0.5000  8 Nd 3.44, 4 Tl 3.57
Tl: 0.5000 0.0000 0.0000  8 Nd 3.44, 4 Pu 3.57

Values from the calculation:
The theoretical density comes out at 10282 kg/m³. Its polymorph energy (0 for the lowest one) is 0 meV/atom. The total energy comes out at -6.639 eV/atom. The total magnetization is 6.47 μB/cell. The symmetry is P4/mmm, No. 123. The calculation puts the density of states at the Fermi level at 11.728 states/eV per cell.

No. 11
DFT (GGA-PBE) results for a geometry-optimized Rb4SbO4 structure.

Lattice parameters (Å, degrees): 9.4379 7.4653 7.4653 90.00 90.00 90.00
Last column: nearest neighbours and their distance in Å.
Element x y z (fractional)
Rb: 0.6791 0.0000 0.7366  4 O 2.87-3.07
Rb: 0.3209 0.7366 0.0000  4 O 2.87-3.07
Rb: 0.8209 0.5000 0.7634  4 O 2.87-3.07
Rb: 0.1791 0.2366 0.5000  4 O 2.87-3.07
Rb: 0.3209 0.2634 0.0000  4 O 2.87-3.07
Rb: 0.1791 0.7634 0.5000  4 O 2.87-3.07
Rb: 0.8209 0.5000 0.2366  4 O 2.87-3.07
Rb: 0.6791 0.0000 0.2634  4 O 2.87-3.07
O: 0.8700 0.7964 0.0001  1 Sb 1.95
O: 0.8700 0.2036 0.9999  1 Sb 1.95
O: 0.1300 0.0001 0.2036  1 Sb 1.95
O: 0.6300 0.2964 0.5001  1 Sb 1.95
O: 0.3700 0.5001 0.7036  1 Sb 1.95
O: 0.1300 0.9999 0.7964  1 Sb 1.95
O: 0.3700 0.4999 0.2964  1 Sb 1.95
O: 0.6300 0.7036 0.4999  1 Sb 1.95
Sb: 0.0000 0.0000 0.0000  4 O 1.95
Sb: 0.5000 0.5000 0.5000  4 O 1.95

Values from the calculation:
The theoretical density comes out at 3332 kg/m³. As for the uncorrected formation energy: -30.518 kcal/mol of atoms. The total energy comes out at -4.415 eV/atom. The total magnetization is 0.00 μB/cell. The symmetry is P4_2/nmc, No. 137. The calculation puts the density of states at the Fermi level at 4.400 states/eV per cell.

Q: Among the records above, which one has the lowest theoretical density?
A: Rb4SbO4

Q: Among the records above, which one has the highest theoretical density?
A: BaCdRe4

Q: Which of these has the lowest theoretical density?
A: Rb4SbO4